i:
The following is a DFT calculation (PBE with a Hubbard U) of a geometry-optimized MgInCoO structure.

```
4
Lattice="1.620 0.935 7.553 -1.620 0.935 7.553 0.000 -1.871 7.553" Properties=species:S:1:pos:R:3 pbc="T T T"
Mg 0.000 0.000 0.000
In 0.000 0.000 4.727
Co 0.000 0.000 10.144
O 0.000 0.000 8.182
```

Results
- Calculated volume: 17.2 A^3/atom
- Density of states at the Fermi level: 1.19 states/eV/cell
- M_tot: 0.52 μB/atom
- Symmetry: R3m (160)

---

ii:
The following is a DFT calculation (PBE with a Hubbard U) of a geometry-optimized MgInCoO structure.

```
4
Lattice="4.512 0.000 0.000 0.000 3.110 0.000 -0.412 0.000 5.594" Properties=species:S:1:pos:R:3 pbc="T T T"
Mg 0.000 0.000 0.000
In 2.269 0.000 2.141
Co 0.037 1.555 2.677
O 4.116 1.555 4.494
```

Results
- Calculated volume: 19.6 A^3/atom
- Density of states at the Fermi level: 0.94 states/eV/cell
- M_tot: 0.50 μB/atom
- Symmetry: Pm (6)

---

Of them, the most stable is i and the least stable is ii.